Compound: Rb3Hg3Pd2
Source: Alexandria
Functional: PBE
Structure: optimized geometry

Properties
E	-1.97	eV per atom

Structure (CIF):
```
data_Rb3Hg3Pd2
_chemical_formula_sum 'Rb12 Hg12 Pd8'
_cell_length_a 4.955
_cell_length_b 12.766
_cell_length_c 17.250
_cell_angle_alpha 90.00
_cell_angle_beta 90.00
_cell_angle_gamma 90.00
_symmetry_space_group_name_H-M 'C m c m'
_symmetry_Int_Tables_number 63
_symmetry_space_group_name_Hall '-C 2c 2'
loop_
_atom_site_label
_atom_site_type_symbol
_atom_site_fract_x
_atom_site_fract_y
_atom_site_fract_z
_atom_site_occupancy
Rb1 Rb 0.000 0.066 0.102 1
Rb2 Rb 0.000 0.383 0.250 1
Hg1 Hg 0.000 0.312 0.750 1
Hg2 Hg 0.000 0.329 0.042 1
Pd1 Pd 0.000 0.222 0.604 1
```


Compound: RbHgPd
Source: Alexandria
Functional: PBE
Structure: optimized geometry

Properties
E	-2.24	eV per atom

Structure (CIF):
```
data_RbHgPd
_chemical_formula_sum 'Rb2 Hg2 Pd2'
_cell_length_a 3.866
_cell_length_b 3.866
_cell_length_c 12.254
_cell_angle_alpha 90.00
_cell_angle_beta 90.00
_cell_angle_gamma 90.00
_symmetry_space_group_name_H-M 'I 4 m m'
_symmetry_Int_Tables_number 107
_symmetry_space_group_name_Hall 'I 4 -2'
loop_
_atom_site_label
_atom_site_type_symbol
_atom_site_fract_x
_atom_site_fract_y
_atom_site_fract_z
_atom_site_occupancy
Rb1 Rb 0.000 0.000 0.000 1
Hg1 Hg 0.000 0.000 0.270 1
Pd1 Pd 0.000 0.000 0.735 1
```


no.,size of the total moment (μB/cell)
1,0.00
2,0.00